GeP2SeO after structural relaxation, computed with GGA-PBE.

Structure (POSCAR):
```
GeP2SeO
1.0
4.873 0.000 0.000
0.000 4.873 0.000
0.000 0.000 3.732
Ge O P Se
1 1 2 1
Direct
0.500 0.500 0.500
0.000 0.000 0.500
0.000 0.500 0.000
0.500 0.000 0.000
0.000 0.000 0.000
```

ΔE to the lowest computed polymorph   1.155 eV per formula unit
DOS at the Fermi energy   3.64 states/eV per cell
Energy relative to the elements, uncorrected   0.559 eV/atom
Electronic total energy   -21.09 eV/f.u.
Crystal system   tetragonal
Magnetic moment   0.00 μB per cell